# MnMo3Pd

A relaxed MnMo3Pd crystal (PBEsol, Alexandria).

It has space group Pm-3m (No. 221), with a = 4.352 Å, b = 4.352 Å, c = 4.352 Å, α = 90.00°, β = 90.00° and γ = 90.00°. Symmetry generates all atoms from Mn at (0.000, 0.000, 0.000), Mo at (0.000, 0.000, 0.500) and Pd at (0.500, 0.500, 0.500).

The volume is 82.44 Å³/cell. The calculation puts the final energy at -45.66 eV/cell.